No. 1
Crystalline TbPmTmIn at its relaxed geometry. Source: Alexandria, functional GGA-PBE.

abc: 5.479 5.479 5.479
angles: 60.00 60.00 60.00
Sites, in units of the cell vectors:
Tb 0.000 0.000 0.000
Pm 0.500 0.500 0.500
Tm 0.250 0.250 0.250
In 0.750 0.750 0.750

E	-17.2	eV for the cell shown
total magnetization	0.70	μB per cell
symmetry	F-43m (216)
ΔE_f	-0.15	eV/atom


No. 2
Crystalline Tb2Pm6Tm3In at its relaxed geometry. Source: Alexandria, functional GGA-PBE.

abc: 6.160 6.160 11.739
angles: 95.03 95.03 120.08
Sites, in units of the cell vectors:
Tb 0.166 0.834 0.000
Tb 0.834 0.166 0.000
Pm 0.089 0.417 0.750
Pm 0.256 0.256 0.251
Pm 0.417 0.089 0.750
Pm 0.583 0.911 0.250
Pm 0.744 0.744 0.749
Pm 0.911 0.583 0.250
Tm 0.000 0.000 0.500
Tm 0.333 0.667 0.500
Tm 0.667 0.333 0.500
In 0.500 0.500 0.000

E	-54.4	eV for the cell shown
total magnetization	0.00	μB per cell
symmetry	C2/m (12)
ΔE_f	-0.04	eV/atom


No. 3
Crystalline Tb3Pm6Tm2In at its relaxed geometry. Source: Alexandria, functional GGA-PBE.

abc: 6.192 6.192 11.732
angles: 95.11 95.11 120.13
Sites, in units of the cell vectors:
Tb 0.000 0.000 0.000
Tb 0.332 0.668 0.000
Tb 0.668 0.332 0.000
Pm 0.091 0.419 0.255
Pm 0.254 0.254 0.747
Pm 0.419 0.091 0.255
Pm 0.581 0.909 0.745
Pm 0.746 0.746 0.253
Pm 0.909 0.581 0.745
Tm 0.166 0.834 0.500
Tm 0.834 0.166 0.500
In 0.500 0.500 0.500

E	-54.4	eV for the cell shown
total magnetization	0.00	μB per cell
symmetry	C2/m (12)
ΔE_f	-0.03	eV/atom


No. 4
Crystalline Tb2Pm2Tm2In at its relaxed geometry. Source: Alexandria, functional GGA-PBE.

abc: 6.132 6.132 11.552
angles: 112.03 112.03 33.47
Sites, in units of the cell vectors:
Tb 0.175 0.175 0.086
Tb 0.825 0.825 0.914
Pm 0.029 0.029 0.755
Pm 0.971 0.971 0.245
Tm 0.248 0.248 0.630
Tm 0.752 0.752 0.370
In 0.500 0.500 0.500

E	-30.6	eV for the cell shown
total magnetization	0.00	μB per cell
symmetry	C2/m (12)
ΔE_f	-0.02	eV/atom


No. 5
Crystalline TbPmTmIn at its relaxed geometry. Source: Alexandria, functional GGA-PBE.

abc: 4.842 4.870 4.896
angles: 90.00 90.00 90.00
Sites, in units of the cell vectors:
Tb 0.000 0.000 0.000
Pm 0.500 0.500 0.000
Tm 0.000 0.500 0.500
In 0.500 0.000 0.500

E	-17.6	eV for the cell shown
total magnetization	0.01	μB per cell
symmetry	Pmmm (47)
ΔE_f	-0.26	eV/atom


No. 6
Crystalline Tb2Pm6Y3In at its relaxed geometry. Source: Alexandria, functional GGA-PBE.

abc: 6.205 6.205 11.809
angles: 95.06 95.06 120.12
Sites, in units of the cell vectors:
Tb 0.166 0.834 0.000
Tb 0.834 0.166 0.000
Pm 0.091 0.418 0.753
Pm 0.255 0.255 0.248
Pm 0.418 0.091 0.753
Pm 0.582 0.909 0.247
Pm 0.745 0.745 0.752
Pm 0.909 0.582 0.247
Y 0.000 0.000 0.500
Y 0.333 0.667 0.500
Y 0.667 0.333 0.500
In 0.500 0.500 0.000

E	-60.4	eV for the cell shown
total magnetization	0.00	μB per cell
symmetry	C2/m (12)
ΔE_f	-0.04	eV/atom